No. 1
{
  "formula": "Lu2NbCu",
  "functional": "PBE-GGA",
  "state": "relaxed",
  "ef_ev_per_atom": -0.014,
  "magmom_total_mub_per_cell": 0.0,
  "relative_energy_mev_per_atom": 0,
  "lattice": [[3.231, 0.000, 0.000], [0.000, 3.231, 0.000], [0.000, 0.000, 8.051]],
  "species": ["Lu", "Lu", "Nb", "Cu"],
  "fractional_positions": [[0.000, 0.000, 0.226], [0.000, 0.000, 0.774], [0.500, 0.500, 0.500], [0.500, 0.500, 0.000]]
}


No. 2
{
  "formula": "Na2MgAlS",
  "functional": "PBE-GGA",
  "state": "relaxed",
  "formation_energy_uncorrected_ev_per_atom": 0.175,
  "magmom_total_mub_per_cell": 0.0,
  "lattice": [[5.910, 0.000, 0.000], [0.000, 5.910, 0.000], [0.000, 0.000, 4.668]],
  "species": ["Na", "Na", "Mg", "Al", "S"],
  "fractional_positions": [[0.000, 0.500, 0.000], [0.500, 0.000, 0.000], [0.000, 0.000, 0.500], [0.500, 0.500, 0.000], [0.500, 0.500, 0.500]]
}


No. 3
{
  "formula": "La2BAsPt6",
  "functional": "PBE-GGA",
  "state": "relaxed",
  "ef_ev_per_atom": -0.880,
  "magmom_total_mub_per_cell": 0.0,
  "lattice": [[5.935, 0.000, 0.000], [0.000, 8.500, 0.000], [0.000, 0.000, 7.526]],
  "species": ["La", "La", "La", "La", "B", "B", "As", "As", "Pt", "Pt", "Pt", "Pt", "Pt", "Pt", "Pt", "Pt", "Pt", "Pt", "Pt", "Pt"],
  "fractional_positions": [[0.250, 0.027, 0.222], [0.250, 0.473, 0.222], [0.750, 0.527, 0.778], [0.750, 0.973, 0.778], [0.250, 0.250, 0.692], [0.750, 0.750, 0.308], [0.250, 0.750, 0.835], [0.750, 0.250, 0.165], [0.009, 0.750, 0.499], [0.021, 0.250, 0.917], [0.250, 0.502, 0.658], [0.250, 0.998, 0.658], [0.479, 0.250, 0.917], [0.491, 0.750, 0.499], [0.509, 0.250, 0.501], [0.521, 0.750, 0.083], [0.750, 0.002, 0.342], [0.750, 0.498, 0.342], [0.979, 0.750, 0.083], [0.991, 0.250, 0.501]]
}


No. 4
{
  "formula": "CrFe2Ir",
  "functional": "PBE-GGA",
  "state": "relaxed",
  "ef_ev_per_atom": 0.017,
  "magmom_total_mub_per_cell": 2.1,
  "lattice": [[2.629, 0.000, 0.000], [0.000, 3.637, 0.000], [0.000, 0.000, 5.210]],
  "species": ["Cr", "Fe", "Fe", "Ir"],
  "fractional_positions": [[0.000, 0.000, 0.000], [0.500, 0.500, 0.242], [0.500, 0.500, 0.758], [0.000, 0.000, 0.500]]
}


No. 5
{
  "formula": "SrTm4Mg5",
  "functional": "PBE-GGA",
  "state": "relaxed",
  "ef_ev_per_atom": -0.047,
  "magmom_total_mub_per_cell": 0.0,
  "lattice": [[3.806, 0.000, 0.000], [0.000, 3.806, 0.000], [0.000, 0.000, 19.482]],
  "species": ["Sr", "Tm", "Tm", "Tm", "Tm", "Mg", "Mg", "Mg", "Mg", "Mg"],
  "fractional_positions": [[0.000, 0.000, 0.000], [0.000, 0.000, 0.219], [0.000, 0.000, 0.406], [0.000, 0.000, 0.594], [0.000, 0.000, 0.781], [0.500, 0.500, 0.123], [0.500, 0.500, 0.312], [0.500, 0.500, 0.500], [0.500, 0.500, 0.688], [0.500, 0.500, 0.877]]
}


No. 6
{
  "formula": "Zr3Ge5Se12",
  "functional": "PBE-GGA",
  "state": "relaxed",
  "formation_energy_uncorrected_ev_per_atom": -0.514,
  "magmom_total_mub_per_cell": 0.0,
  "lattice": [[-7.927, 7.927, 7.927], [7.927, -7.927, 7.927], [7.927, 7.927, -7.927]],
  "species": ["Zr", "Zr", "Zr", "Zr", "Zr", "Zr", "Zr", "Zr", "Zr", "Zr", "Zr", "Zr", "Ge", "Ge", "Ge", "Ge", "Ge", "Ge", "Ge", "Ge", "Ge", "Ge", "Ge", "Ge", "Ge", "Ge", "Ge", "Ge", "Ge", "Ge", "Ge", "Ge", "Se", "Se", "Se", "Se", "Se", "Se", "Se", "Se", "Se", "Se", "Se", "Se", "Se", "Se", "Se", "Se", "Se", "Se", "Se", "Se", "Se", "Se", "Se", "Se", "Se", "Se", "Se", "Se", "Se", "Se", "Se", "Se", "Se", "Se", "Se", "Se", "Se", "Se", "Se", "Se", "Se", "Se", "Se", "Se", "Se", "Se", "Se", "Se"],
  "fractional_positions": [[0.125, 0.250, 0.375], [0.125, 0.375, 0.750], [0.250, 0.375, 0.125], [0.250, 0.875, 0.625], [0.375, 0.125, 0.250], [0.375, 0.750, 0.125], [0.625, 0.250, 0.875], [0.625, 0.875, 0.750], [0.750, 0.125, 0.375], [0.750, 0.625, 0.875], [0.875, 0.625, 0.250], [0.875, 0.750, 0.625], [0.000, 0.000, 0.000], [0.000, 0.000, 0.500], [0.000, 0.500, 0.000], [0.000, 0.500, 0.500], [0.125, 0.750, 0.875], [0.125, 0.875, 0.250], [0.250, 0.125, 0.875], [0.250, 0.625, 0.375], [0.375, 0.250, 0.625], [0.375, 0.625, 0.750], [0.500, 0.000, 0.000], [0.500, 0.000, 0.500], [0.500, 0.500, 0.000], [0.500, 0.500, 0.500], [0.625, 0.375, 0.250], [0.625, 0.750, 0.375], [0.750, 0.375, 0.625], [0.750, 0.875, 0.125], [0.875, 0.125, 0.750], [0.875, 0.250, 0.125], [0.050, 0.223, 0.138], [0.050, 0.328, 0.912], [0.085, 0.723, 0.672], [0.085, 0.862, 0.412], [0.088, 0.638, 0.415], [0.088, 0.950, 0.672], [0.138, 0.050, 0.223], [0.138, 0.588, 0.915], [0.172, 0.223, 0.585], [0.172, 0.450, 0.588], [0.223, 0.138, 0.050], [0.223, 0.585, 0.172], [0.277, 0.328, 0.915], [0.277, 0.450, 0.362], [0.328, 0.912, 0.050], [0.328, 0.915, 0.277], [0.362, 0.277, 0.450], [0.362, 0.585, 0.912], [0.412, 0.085, 0.862], [0.412, 0.828, 0.550], [0.415, 0.088, 0.638], [0.415, 0.828, 0.777], [0.450, 0.362, 0.277], [0.450, 0.588, 0.172], [0.550, 0.412, 0.828], [0.550, 0.638, 0.723], [0.585, 0.172, 0.223], [0.585, 0.912, 0.362], [0.588, 0.172, 0.450], [0.588, 0.915, 0.138], [0.638, 0.415, 0.088], [0.638, 0.723, 0.550], [0.672, 0.085, 0.723], [0.672, 0.088, 0.950], [0.723, 0.550, 0.638], [0.723, 0.672, 0.085], [0.777, 0.415, 0.828], [0.777, 0.862, 0.950], [0.828, 0.550, 0.412], [0.828, 0.777, 0.415], [0.862, 0.412, 0.085], [0.862, 0.950, 0.777], [0.912, 0.050, 0.328], [0.912, 0.362, 0.585], [0.915, 0.138, 0.588], [0.915, 0.277, 0.328], [0.950, 0.672, 0.088], [0.950, 0.777, 0.862]]
}


No. 7
{
  "formula": "Rb3Na12Cd",
  "functional": "PBE-GGA",
  "state": "relaxed",
  "ef_ev_per_atom": 0.036,
  "magmom_total_mub_per_cell": 0.0,
  "lattice": [[5.910, 0.000, 0.000], [0.000, 5.910, 0.000], [0.000, 0.000, 19.948]],
  "species": ["Rb", "Rb", "Rb", "Na", "Na", "Na", "Na", "Na", "Na", "Na", "Na", "Na", "Na", "Na", "Na", "Cd"],
  "fractional_positions": [[0.000, 0.000, 0.000], [0.000, 0.000, 0.282], [0.000, 0.000, 0.718], [0.000, 0.500, 0.140], [0.000, 0.500, 0.412], [0.000, 0.500, 0.588], [0.000, 0.500, 0.860], [0.500, 0.000, 0.140], [0.500, 0.000, 0.412], [0.500, 0.000, 0.588], [0.500, 0.000, 0.860], [0.500, 0.500, 0.000], [0.500, 0.500, 0.271], [0.500, 0.500, 0.500], [0.500, 0.500, 0.729], [0.000, 0.000, 0.500]]
}


No. 8
{
  "formula": "NaMg2Ti",
  "functional": "PBE-GGA",
  "state": "relaxed",
  "ef_ev_per_atom": 0.657,
  "magmom_total_mub_per_cell": 4.2,
  "relative_energy_mev_per_atom": 217,
  "lattice": [[-3.977, 3.977, 3.113], [3.977, -3.977, 3.113], [3.977, 3.977, -3.113]],
  "species": ["Na", "Na", "Mg", "Mg", "Mg", "Mg", "Ti", "Ti"],
  "fractional_positions": [[0.000, 0.000, 0.000], [0.750, 0.250, 0.500], [0.128, 0.125, 0.503], [0.375, 0.872, 0.997], [0.622, 0.625, 0.497], [0.875, 0.378, 0.003], [0.250, 0.750, 0.500], [0.500, 0.500, 0.000]]
}


No. 9
{
  "formula": "TiNbP2O",
  "functional": "PBE-GGA",
  "state": "relaxed",
  "formation_energy_uncorrected_ev_per_atom": -0.485,
  "magmom_total_mub_per_cell": 0.3,
  "relative_energy_mev_per_atom": 0,
  "lattice": [[4.788, 0.000, 0.000], [0.000, 4.788, 0.000], [0.000, 0.000, 3.594]],
  "species": ["Ti", "Nb", "P", "P", "O"],
  "fractional_positions": [[0.000, 0.000, 0.000], [0.500, 0.500, 0.500], [0.000, 0.500, 0.000], [0.500, 0.000, 0.000], [0.000, 0.000, 0.500]]
}


No. 10
{
  "formula": "YCu2Re",
  "functional": "PBE-GGA",
  "state": "relaxed",
  "ef_ev_per_atom": 0.290,
  "magmom_total_mub_per_cell": 0.0,
  "relative_energy_mev_per_atom": 26,
  "lattice": [[4.236, 0.000, 0.000], [0.000, 4.236, 0.000], [0.000, 0.000, 3.643]],
  "species": ["Y", "Cu", "Cu", "Re"],
  "fractional_positions": [[0.000, 0.000, 0.000], [0.000, 0.500, 0.500], [0.500, 0.000, 0.500], [0.500, 0.500, 0.000]]
}


No. 11
{
  "formula": "KMgRh4",
  "functional": "PBE-GGA",
  "state": "relaxed",
  "ef_ev_per_atom": 0.238,
  "magmom_total_mub_per_cell": 0.7,
  "lattice": [[0.000, 3.765, 3.765], [3.765, 0.000, 3.765], [3.765, 3.765, 0.000]],
  "species": ["K", "Mg", "Rh", "Rh", "Rh", "Rh"],
  "fractional_positions": [[0.000, 0.000, 0.000], [0.750, 0.750, 0.750], [0.376, 0.376, 0.376], [0.376, 0.376, 0.873], [0.376, 0.873, 0.376], [0.873, 0.376, 0.376]]
}


No. 12
{
  "formula": "Ca2H3F",
  "functional": "PBE-GGA",
  "state": "relaxed",
  "dft_energy_ev_per_atom": -4.05,
  "magmom_total_mub_per_cell": 0.0,
  "lattice": [[3.540, 0.000, 0.000], [0.000, 6.848, 0.000], [0.000, 0.000, 5.908]],
  "species": ["Ca", "Ca", "Ca", "Ca", "H", "H", "H", "H", "H", "H", "F", "F"],
  "fractional_positions": [[0.000, 0.136, 0.000], [0.000, 0.864, 0.500], [0.500, 0.363, 0.483], [0.500, 0.637, 0.983], [0.000, 0.177, 0.383], [0.000, 0.823, 0.883], [0.500, 0.073, 0.711], [0.500, 0.317, 0.101], [0.500, 0.683, 0.601], [0.500, 0.927, 0.211], [0.000, 0.419, 0.767], [0.000, 0.581, 0.267]]
}


No. 13
{
  "formula": "YMg3Ag",
  "functional": "PBE-GGA",
  "state": "relaxed",
  "ef_ev_per_atom": -0.149,
  "magmom_total_mub_per_cell": 0.0,
  "relative_energy_mev_per_atom": 0,
  "lattice": [[5.647, 0.000, 0.000], [0.000, 5.900, 0.000], [-2.704, 0.000, 7.109]],
  "species": ["Y", "Y", "Mg", "Mg", "Mg", "Mg", "Mg", "Mg", "Ag", "Ag"],
  "fractional_positions": [[0.095, 0.250, 0.378], [0.905, 0.750, 0.622], [0.044, 0.250, 0.905], [0.498, 0.002, 0.801], [0.498, 0.498, 0.801], [0.502, 0.502, 0.199], [0.502, 0.998, 0.199], [0.956, 0.750, 0.095], [0.323, 0.750, 0.457], [0.677, 0.250, 0.543]]
}


No. 14
{
  "formula": "NpPdO4",
  "functional": "PBE-GGA",
  "state": "relaxed",
  "formation_energy_uncorrected_ev_per_atom": -1.665,
  "magmom_total_mub_per_cell": 2.0,
  "lattice": [[-3.299, 3.299, 3.841], [3.299, -3.299, 3.841], [3.299, 3.299, -3.841]],
  "species": ["Np", "Np", "Pd", "Pd", "O", "O", "O", "O", "O", "O", "O", "O"],
  "fractional_positions": [[0.375, 0.625, 0.750], [0.625, 0.375, 0.250], [0.125, 0.875, 0.250], [0.875, 0.125, 0.750], [0.115, 0.662, 0.453], [0.291, 0.338, 0.953], [0.338, 0.291, 0.453], [0.338, 0.885, 0.047], [0.662, 0.115, 0.953], [0.662, 0.709, 0.547], [0.709, 0.662, 0.047], [0.885, 0.338, 0.547]]
}


No. 15
{
  "formula": "ScCd5Hg2",
  "functional": "PBE-GGA",
  "state": "relaxed",
  "ef_ev_per_atom": -0.091,
  "magmom_total_mub_per_cell": 0.0,
  "relative_energy_mev_per_atom": 0,
  "lattice": [[6.466, 0.000, 0.000], [0.000, 15.162, 0.000], [0.000, 0.000, 3.703]],
  "species": ["Sc", "Sc", "Cd", "Cd", "Cd", "Cd", "Cd", "Cd", "Cd", "Cd", "Cd", "Cd", "Hg", "Hg", "Hg", "Hg"],
  "fractional_positions": [[0.000, 0.000, 0.000], [0.500, 0.500, 0.000], [0.000, 0.500, 0.000], [0.027, 0.256, 0.000], [0.235, 0.626, 0.500], [0.265, 0.126, 0.500], [0.473, 0.756, 0.000], [0.500, 0.000, 0.000], [0.527, 0.244, 0.000], [0.735, 0.874, 0.500], [0.765, 0.374, 0.500], [0.973, 0.744, 0.000], [0.221, 0.877, 0.500], [0.279, 0.377, 0.500], [0.721, 0.623, 0.500], [0.779, 0.123, 0.500]]
}


No. 16
{
  "formula": "Tl4Bi3Pb5",
  "functional": "PBE-GGA",
  "state": "relaxed",
  "ef_ev_per_atom": 0.088,
  "magmom_total_mub_per_cell": 0.0,
  "lattice": [[6.819, -3.276, 0.000], [6.819, 3.276, 0.000], [-4.831, 0.000, 8.869]],
  "species": ["Tl", "Tl", "Tl", "Tl", "Bi", "Bi", "Bi", "Pb", "Pb", "Pb", "Pb", "Pb"],
  "fractional_positions": [[0.002, 0.002, 0.171], [0.250, 0.250, 0.166], [0.750, 0.750, 0.834], [0.998, 0.998, 0.829], [0.252, 0.252, 0.828], [0.500, 0.500, 0.500], [0.748, 0.748, 0.172], [0.000, 0.000, 0.500], [0.253, 0.253, 0.507], [0.500, 0.500, 0.165], [0.500, 0.500, 0.835], [0.747, 0.747, 0.493]]
}


No. 17
{
  "formula": "Er8Ga2Ru",
  "functional": "PBE-GGA",
  "state": "relaxed",
  "ef_ev_per_atom": -0.312,
  "magmom_total_mub_per_cell": 0.0,
  "lattice": [[8.749, -2.498, 0.000], [8.749, 2.498, 0.000], [-1.521, 0.000, 6.451]],
  "species": ["Er", "Er", "Er", "Er", "Er", "Er", "Er", "Er", "Ga", "Ga", "Ru"],
  "fractional_positions": [[0.024, 0.024, 0.281], [0.203, 0.203, 0.804], [0.346, 0.346, 0.541], [0.410, 0.410, 0.060], [0.590, 0.590, 0.940], [0.654, 0.654, 0.459], [0.797, 0.797, 0.196], [0.976, 0.976, 0.719], [0.192, 0.192, 0.237], [0.808, 0.808, 0.763], [0.500, 0.500, 0.500]]
}


No. 18
{
  "formula": "Nb2CoB3",
  "functional": "PBE-GGA",
  "state": "relaxed",
  "ef_ev_per_atom": -0.547,
  "magmom_total_mub_per_cell": 0.0,
  "lattice": [[0.000, 3.316, 5.733], [3.313, 0.000, 5.733], [3.313, 3.316, 0.000]],
  "species": ["Nb", "Nb", "Nb", "Nb", "Co", "Co", "B", "B", "B", "B", "B", "B"],
  "fractional_positions": [[0.248, 0.752, 0.248], [0.250, 0.250, 0.250], [0.750, 0.750, 0.750], [0.752, 0.248, 0.752], [0.333, 0.333, 0.667], [0.667, 0.667, 0.333], [0.156, 0.686, 0.844], [0.157, 0.157, 0.843], [0.314, 0.844, 0.686], [0.686, 0.156, 0.314], [0.843, 0.843, 0.157], [0.844, 0.314, 0.156]]
}


No. 19
{
  "formula": "SiAg2P",
  "functional": "PBE-GGA",
  "state": "relaxed",
  "formation_energy_uncorrected_ev_per_atom": 0.339,
  "magmom_total_mub_per_cell": 0.0,
  "relative_energy_mev_per_atom": 177,
  "lattice": [[-1.692, 2.377, 4.324], [1.692, -2.377, 4.324], [1.692, 2.377, -4.324]],
  "species": ["Si", "Ag", "Ag", "P"],
  "fractional_positions": [[0.000, 0.000, 0.000], [0.459, 0.459, 0.000], [0.746, 0.246, 0.500], [0.183, 0.683, 0.500]]
}


No. 20
{
  "formula": "HfPaTl",
  "functional": "PBE-GGA",
  "state": "relaxed",
  "ef_ev_per_atom": 0.063,
  "magmom_total_mub_per_cell": 0.0,
  "relative_energy_mev_per_atom": 0,
  "lattice": [[-1.583, 1.583, 7.303], [1.583, -1.583, 7.303], [1.583, 1.583, -7.303]],
  "species": ["Hf", "Pa", "Tl"],
  "fractional_positions": [[0.000, 0.000, 0.000], [0.660, 0.660, 0.000], [0.338, 0.338, 0.000]]
}